Entry 1:
# PBE SrZnIn2Ir, relaxed
data_SrZnIn2Ir
_chemical_formula_sum 'Sr1 Zn1 In2 Ir1'
_space_group_name_H-M_alt 'P 4/m m m'
_space_group_IT_number 123
_space_group_name_Hall '-P 4 2'
_cell_length_a 5.1661
_cell_length_b 5.1661
_cell_length_c 4.9678
_cell_angle_alpha 90.00
_cell_angle_beta 90.00
_cell_angle_gamma 90.00
loop_
_atom_site_label
_atom_site_type_symbol
_atom_site_fract_x
_atom_site_fract_y
_atom_site_fract_z
Sr1 Sr 0.0000 0.0000 0.0000
Zn1 Zn 0.5000 0.5000 0.0000
In1 In 0.0000 0.5000 0.5000
Ir1 Ir 0.5000 0.5000 0.5000
# - ρ: 7.20 g/cm3
# - E: -3.698 eV per atom

=====

Entry 2:
# PBE Y3GeTe2, relaxed
data_Y3GeTe2
_chemical_formula_sum 'Y6 Ge2 Te4'
_space_group_name_H-M_alt 'I m m m'
_space_group_IT_number 71
_space_group_name_Hall '-I 2 2'
_cell_length_a 4.2861
_cell_length_b 6.0676
_cell_length_c 13.0923
_cell_angle_alpha 90.00
_cell_angle_beta 90.00
_cell_angle_gamma 90.00
loop_
_atom_site_label
_atom_site_type_symbol
_atom_site_fract_x
_atom_site_fract_y
_atom_site_fract_z
Y1 Y 0.0000 0.0000 0.0000
Y2 Y 0.0000 0.0000 0.3541
Ge1 Ge 0.0000 0.5000 0.0000
Te1 Te 0.0000 0.5000 0.3265
# - E_form (uncorrected): -1285 meV per atom
# - ρ: 5.80 g/cm3
# - Polymorph energy (0 for the lowest one): 0.10 kcal/mol of atoms
# - E: -6.334 eV per atom

=====

Entry 3:
# PBE NdTmHg2, relaxed
data_NdTmHg2
_chemical_formula_sum 'Nd4 Tm4 Hg8'
_space_group_name_H-M_alt 'F m -3 m'
_space_group_IT_number 225
_space_group_name_Hall '-F 4 2 3'
_cell_length_a 7.5265
_cell_length_b 7.5265
_cell_length_c 7.5265
_cell_angle_alpha 90.00
_cell_angle_beta 90.00
_cell_angle_gamma 90.00
loop_
_atom_site_label
_atom_site_type_symbol
_atom_site_fract_x
_atom_site_fract_y
_atom_site_fract_z
Nd1 Nd 0.0000 0.0000 0.0000
Tm1 Tm 0.0000 0.0000 0.5000
Hg1 Hg 0.2500 0.2500 0.2500
# - ρ: 11.13 g/cm3
# - Polymorph energy (0 for the lowest one): 0.43 kcal/mol of atoms
# - E: -2.920 eV per atom

=====

Entry 4:
# PBE Li3PuBi2, relaxed
data_Li3PuBi2
_chemical_formula_sum 'Li6 Pu2 Bi4'
_space_group_name_H-M_alt 'P m c 21'
_space_group_IT_number 26
_cell_length_a 4.7622
_cell_length_b 8.3958
_cell_length_c 7.3784
_cell_angle_alpha 90.00
_cell_angle_beta 90.00
_cell_angle_gamma 90.00
loop_
_space_group_symop_operation_xyz
'x,y,z'
'-x,-y,z+1/2'
'-x,y,z'
'x,-y,z+1/2'
loop_
_atom_site_label
_atom_site_type_symbol
_atom_site_fract_x
_atom_site_fract_y
_atom_site_fract_z
Li1 Li 0.0000 0.0734 0.0000
Li2 Li 0.0000 0.3044 0.3493
Li3 Li 0.5000 0.1585 0.6640
Pu1 Pu 0.5000 0.4657 0.0136
Bi1 Bi 0.0000 0.3549 0.7454
Bi2 Bi 0.5000 0.1597 0.2692
# - ρ: 7.69 g/cm3
# - E: -5.080 eV per atom

=====

Entry 5:
# PBE CdReP2C, relaxed
data_CdReP2C
_chemical_formula_sum 'Cd1 Re1 P2 C1'
_space_group_name_H-M_alt 'P 4/m m m'
_space_group_IT_number 123
_space_group_name_Hall '-P 4 2'
_cell_length_a 4.7257
_cell_length_b 4.7257
_cell_length_c 5.1678
_cell_angle_alpha 90.00
_cell_angle_beta 90.00
_cell_angle_gamma 90.00
loop_
_atom_site_label
_atom_site_type_symbol
_atom_site_fract_x
_atom_site_fract_y
_atom_site_fract_z
Cd1 Cd 0.0000 0.0000 0.0000
Re1 Re 0.0000 0.0000 0.5000
P1 P 0.0000 0.5000 0.0000
C1 C 0.5000 0.5000 0.5000
# - ρ: 5.36 g/cm3
# - E: -3.250 eV per atom

=====

Entry 6:
# PBE K3ZrSb2O8, relaxed
data_K3ZrSb2O8
_chemical_formula_sum 'K3 Zr1 Sb2 O8'
_space_group_name_H-M_alt 'P -3 m 1'
_space_group_IT_number 164
_space_group_name_Hall '-P 3 2"'
_cell_length_a 6.0468
_cell_length_b 6.0468
_cell_length_c 7.7885
_cell_angle_alpha 90.00
_cell_angle_beta 90.00
_cell_angle_gamma 120.00
loop_
_atom_site_label
_atom_site_type_symbol
_atom_site_fract_x
_atom_site_fract_y
_atom_site_fract_z
K1 K 0.0000 0.0000 0.0000
K2 K 0.3333 0.6667 0.6635
Zr1 Zr 0.0000 0.0000 0.5000
Sb1 Sb 0.3333 0.6667 0.2280
O1 O 0.1636 0.3273 0.3393
O2 O 0.3333 0.6667 0.9854
# - E_form (uncorrected): -1801 meV per atom
# - ρ: 3.91 g/cm3
# - E: -6.069 eV per atom

=====

Entry 7:
# PBE ZrAgF2, relaxed
data_ZrAgF2
_chemical_formula_sum 'Zr4 Ag4 F8'
_space_group_name_H-M_alt 'I -4 2 d'
_space_group_IT_number 122
_space_group_name_Hall 'I -4 2bw'
_cell_length_a 4.2215
_cell_length_b 4.2215
_cell_length_c 14.4519
_cell_angle_alpha 90.00
_cell_angle_beta 90.00
_cell_angle_gamma 90.00
loop_
_atom_site_label
_atom_site_type_symbol
_atom_site_fract_x
_atom_site_fract_y
_atom_site_fract_z
Zr1 Zr 0.0000 0.0000 0.0000
Ag1 Ag 0.0000 0.0000 0.5000
F1 F 0.1122 0.2500 0.1250
# - E_form (uncorrected): -1609 meV per atom
# - ρ: 6.11 g/cm3
# - Polymorph energy (0 for the lowest one): 5.76 kcal/mol of atoms
# - E: -5.394 eV per atom

=====

Entry 8:
# PBE CsTe4AsPb2, relaxed
data_CsTe4AsPb2
_chemical_formula_sum 'Cs2 Te8 As2 Pb4'
_space_group_name_H-M_alt 'P 1'
_space_group_IT_number 1
_cell_length_a 9.2656
_cell_length_b 9.5327
_cell_length_c 9.7639
_cell_angle_alpha 66.79
_cell_angle_beta 65.81
_cell_angle_gamma 65.05
loop_
_space_group_symop_operation_xyz
'x,y,z'
loop_
_atom_site_label
_atom_site_type_symbol
_atom_site_fract_x
_atom_site_fract_y
_atom_site_fract_z
Cs1 Cs 0.0000 0.0000 0.0000
Cs2 Cs 0.0116 0.4900 0.0110
Te1 Te 0.2498 0.7352 0.2993
Te2 Te 0.2551 0.2672 0.7005
Te3 Te 0.2682 0.7588 0.7019
Te4 Te 0.2891 0.1603 0.2714
Te5 Te 0.6991 0.7550 0.2902
Te6 Te 0.7029 0.3007 0.7780
Te7 Te 0.7178 0.2503 0.2837
Te8 Te 0.8264 0.7509 0.6724
As1 As 0.0676 0.8890 0.5267
As2 As 0.4691 0.9097 0.1491
Pb1 Pb 0.4924 0.4062 0.0839
Pb2 Pb 0.5014 0.4724 0.5289
Pb3 Pb 0.5140 0.0040 0.5093
Pb4 Pb 0.9779 0.4508 0.5499
# - E_form (uncorrected): -380 meV per atom
# - ρ: 5.47 g/cm3
# - E: -3.566 eV per atom

=====

Entry 9:
# PBE Hf3ZrN3, relaxed
data_Hf3ZrN3
_chemical_formula_sum 'Hf6 Zr2 N6'
_space_group_name_H-M_alt 'P 63/m m c'
_space_group_IT_number 194
_space_group_name_Hall '-P 6c 2c'
_cell_length_a 7.3504
_cell_length_b 7.3504
_cell_length_c 4.5836
_cell_angle_alpha 90.00
_cell_angle_beta 90.00
_cell_angle_gamma 120.00
loop_
_atom_site_label
_atom_site_type_symbol
_atom_site_fract_x
_atom_site_fract_y
_atom_site_fract_z
Hf1 Hf 0.1728 0.3456 0.2500
Zr1 Zr 0.3333 0.6667 0.7500
N1 N 0.1574 0.3147 0.7500
# - E_form (uncorrected): -1376 meV per atom
# - ρ: 10.35 g/cm3
# - Polymorph energy (0 for the lowest one): 3.48 kcal/mol of atoms
# - E: -10.431 eV per atom